Entry 1:
DFT (PBE) results for a relaxed Ce2ZrIn crystal.

The space group is Fm-3m (No. 225) and the conventional cell measures 7.544, 7.544 and 7.544 Å, with angles of 90.00, 90.00 and 90.00 degrees. The inequivalent atoms are Ce at (0.250, 0.250, 0.250), Zr at (0.000, 0.000, 0.000) and In at (0.000, 0.000, 0.500).

The formation energy comes out at 0.009 eV/atom. For the polymorph energy (0 for the lowest one), the calculation gives 192 meV per atom. The calculation puts the density of states at the Fermi level at 10.574 states/eV/f.u.

---

Entry 2:
DFT (PBE) results for a relaxed Rb3Na crystal.

The space group is Pm-3m (No. 221) and the conventional cell measures 6.706, 6.706 and 6.706 Å, with angles of 90.00, 90.00 and 90.00 degrees. The inequivalent atoms are Rb at (0.000, 0.000, 0.500) and Na at (0.500, 0.500, 0.500).

The formation energy comes out at 0.034 eV/atom. The calculation puts the density of states at the Fermi level at 2.922 states/eV/f.u.

---

Entry 3:
DFT (PBE) results for a relaxed K2ZnRh crystal.

The space group is P4/mmm (No. 123) and the conventional cell measures 4.266, 4.266 and 5.267 Å, with angles of 90.00, 90.00 and 90.00 degrees. The inequivalent atoms are K at (0.000, 0.500, 0.000), Zn at (0.000, 0.000, 0.500) and Rh at (0.500, 0.500, 0.500).

The formation energy comes out at 0.555 eV/atom. The calculation puts the density of states at the Fermi level at 2.600 states/eV/f.u.

---

Entry 4:
DFT (PBE) results for a relaxed Cs2Rb3Tl4 crystal.

The space group is P-1 (No. 2) and the conventional cell measures 6.648, 7.859 and 9.725 Å, with angles of 73.09, 86.51 and 66.18 degrees. The inequivalent atoms are Cs at (0.242, 0.007, 0.340), Rb at (0.000, 0.500, 0.000), Rb at (0.487, 0.486, 0.259), Tl at (0.112, 0.331, 0.628) and Tl at (0.248, 0.979, 0.916).

The formation energy comes out at -0.033 eV/atom. The calculation puts the density of states at the Fermi level at 6.069 states/eV/f.u.

---

Entry 5:
DFT (PBE) results for a relaxed Ac5Al2Zn crystal.

The space group is I4/mcm (No. 140) and the conventional cell measures 8.195, 8.195 and 16.735 Å, with angles of 90.00, 90.00 and 90.00 degrees. The inequivalent atoms are Ac at (0.000, 0.000, 0.000), Ac at (0.175, 0.325, 0.147), Al at (0.113, 0.387, 0.500) and Zn at (0.000, 0.000, 0.250).

The formation energy comes out at -0.182 eV/atom. The calculation puts the density of states at the Fermi level at 7.782 states/eV/f.u.

---

Entry 6:
DFT (PBE) results for a relaxed AcYAgHg crystal.

The space group is P4mm (No. 99) and the conventional cell measures 3.813, 3.813 and 7.795 Å, with angles of 90.00, 90.00 and 90.00 degrees. The inequivalent atoms are Ac at (0.000, 0.000, 0.000), Y at (0.000, 0.000, 0.490), Ag at (0.500, 0.500, 0.281) and Hg at (0.500, 0.500, 0.714).

The formation energy comes out at -0.374 eV/atom. For the polymorph energy (0 for the lowest one), the calculation gives 0 meV per atom. The calculation puts the density of states at the Fermi level at 3.397 states/eV/f.u.

---

Entry 7:
DFT (PBE) results for a relaxed ZnCo2Re crystal.

The space group is F-43m (No. 216) and the conventional cell measures 5.825, 5.825 and 5.825 Å, with angles of 90.00, 90.00 and 90.00 degrees. The inequivalent atoms are Zn at (0.000, 0.000, 0.000), Co at (0.000, 0.000, 0.500), Co at (0.250, 0.250, 0.250) and Re at (0.250, 0.250, 0.750).

The formation energy comes out at 0.314 eV/atom. The calculation puts the density of states at the Fermi level at 6.582 states/eV/f.u.

---

Entry 8:
DFT (PBE) results for a relaxed NdFeSi crystal.

The space group is P4/nmm (No. 129, origin choice 2) and the conventional cell measures 4.057, 4.057 and 6.970 Å, with angles of 90.00, 90.00 and 90.00 degrees. The inequivalent atoms are Nd at (0.250, 0.250, 0.185), Fe at (0.250, 0.750, 0.500) and Si at (0.250, 0.250, 0.663).

For the formation energy from raw total energies, the calculation gives -0.5722 eV per atom. The calculation puts the density of states at the Fermi level at 3.518 states/eV/f.u.

---

Entry 9:
DFT (PBE) results for a relaxed La2Tl3BiS6 crystal.

The space group is C2/m (No. 12) and the conventional cell measures 7.342, 12.714 and 7.837 Å, with angles of 90.00, 108.20 and 90.00 degrees. The inequivalent atoms are La at (0.000, 0.167, 0.000), Tl at (0.000, 0.000, 0.500), Tl at (0.000, 0.333, 0.500), Bi at (0.000, 0.500, 0.000), S at (0.234, 0.335, 0.206) and S at (0.239, 0.000, 0.208).

For the formation energy from raw total energies, the calculation gives -1.1573 eV per atom. The calculation puts the density of states at the Fermi level at 0.000 states/eV/f.u.

---

Entry 10:
DFT (PBE) results for a relaxed BaCdIn4 crystal.

The space group is Pbam (No. 55) and the conventional cell measures 9.616, 18.540 and 4.163 Å, with angles of 90.00, 90.00 and 90.00 degrees. The inequivalent atoms are Ba at (0.125, 0.150, 0.000), Cd at (0.129, 0.414, 0.000), In at (0.022, 0.695, 0.500), In at (0.119, 0.548, 0.500), In at (0.131, 0.963, 0.500) and In at (0.216, 0.811, 0.500).

The formation energy comes out at -0.160 eV/atom. For the polymorph energy (0 for the lowest one), the calculation gives 0 meV per atom. The calculation puts the density of states at the Fermi level at 2.725 states/eV/f.u.

---

Entry 11:
DFT (PBE) results for a relaxed MgTlSi2 crystal.

The space group is P4mm (No. 99) and the conventional cell measures 3.352, 3.352 and 7.416 Å, with angles of 90.00, 90.00 and 90.00 degrees. The inequivalent atoms are Mg at (0.000, 0.000, 0.000), Tl at (0.500, 0.500, 0.693), Si at (0.000, 0.000, 0.370) and Si at (0.500, 0.500, 0.241).

For the formation energy from raw total energies, the calculation gives 0.2492 eV per atom. For the polymorph energy (0 for the lowest one), the calculation gives 91 meV per atom. The calculation puts the density of states at the Fermi level at 1.904 states/eV/f.u.

---

Entry 12:
DFT (PBE) results for a relaxed Sm2PbSe4 crystal.

The space group is Pnma (No. 62) and the conventional cell measures 13.095, 4.218 and 15.110 Å, with angles of 90.00, 90.00 and 90.00 degrees. The inequivalent atoms are Sm at (0.062, 0.250, 0.116), Sm at (0.090, 0.250, 0.590), Pb at (0.235, 0.750, 0.826), Se at (0.046, 0.750, 0.717), Se at (0.090, 0.250, 0.925), Se at (0.126, 0.750, 0.460) and Se at (0.203, 0.750, 0.176).

For the formation energy from raw total energies, the calculation gives -1.4762 eV per atom. For the polymorph energy (0 for the lowest one), the calculation gives 0 meV per atom. The calculation puts the density of states at the Fermi level at 0.000 states/eV/f.u.